TlIrBr3: relaxed, PBE.

Geometry as POSCAR:
```
TlIrBr3
1.0
5.179 0.000 0.000
0.000 5.179 0.000
0.000 0.000 5.179
Br Tl Ir
3 1 1
direct
0.000 0.500 0.000
0.500 0.000 0.000
0.000 0.000 0.500
0.500 0.500 0.500
0.000 0.000 0.000
```

energy	-16.9	eV per cell
energy above the lowest structure with this stoichiometry	0.000	eV per atom


TlIrBr: relaxed, PBE.

Geometry as POSCAR:
```
TlIrBr
1.0
7.369 -0.015 0.010
6.283 3.129 0.030
1.085 -1.242 2.889
Ir Br Tl
1 1 1
direct
0.341 0.341 0.659
0.979 0.979 0.021
0.680 0.680 0.320
```

energy	-10.8	eV per cell
energy above the lowest structure with this stoichiometry	0.229	eV per atom


TlIr2Br: relaxed, PBE.

Geometry as POSCAR:
```
TlIr2Br
1.0
5.580 0.003 -0.004
2.242 5.110 0.004
-3.031 -3.903 2.593
Ir Tl Br
2 1 1
direct
0.004 0.004 0.000
0.496 0.496 0.000
0.750 0.250 0.500
0.250 0.750 0.500
```

energy	-18.5	eV per cell
energy above the lowest structure with this stoichiometry	0.418	eV per atom


TlIrBr: relaxed, PBE.

Geometry as POSCAR:
```
TlIrBr
1.0
-3.765 3.476 3.812
-0.141 1.284 6.255
3.380 -0.430 -5.402
Br Tl Ir
1 1 1
direct
0.975 0.975 0.000
0.709 0.709 0.000
0.317 0.317 0.000
```

energy	-10.8	eV per cell
energy above the lowest structure with this stoichiometry	0.236	eV per atom


TlIrBr2: relaxed, PBE.

Geometry as POSCAR:
```
TlIrBr2
1.0
5.135 0.177 0.400
-2.265 4.590 0.523
0.606 2.072 4.675
Tl Ir Br
1 1 2
direct
0.500 0.500 0.000
0.000 0.500 0.500
0.500 0.000 0.500
0.000 0.000 0.000
```

energy	-12.0	eV per cell
energy above the lowest structure with this stoichiometry	0.714	eV per atom


TlIrBr2: relaxed, PBE.

Geometry as POSCAR:
```
TlIrBr2
1.0
3.380 0.000 0.000
0.000 6.030 0.000
0.000 0.000 4.605
Br Ir Tl
2 1 1
direct
0.500 0.500 0.000
0.000 0.000 0.000
0.500 0.000 0.500
0.000 0.500 0.500
```

energy	-11.9	eV per cell
energy above the lowest structure with this stoichiometry	0.743	eV per atom


Spin magnetization per entry: 0.0, 0.0, 0.0, 0.0, 0.0, 0.0 μB per formula unit